An optimized crystal structure of LaTe2P, computed with PBE.

a b c (Å): 5.3604 5.3604 5.3604
angles (deg): 60.00 60.00 60.00
Element x y z (fractional)
La (0.0000, 0.0000, 0.0000)
Te (0.5000, 0.5000, 0.5000)
Te (0.7500, 0.7500, 0.7500)
P (0.2500, 0.2500, 0.2500)

ΔE_f (raw) = -291 meV per atom
SG = F-43m